1.
V3SbP4O16, optimized geometry, DFT GGA-PBEsol; density of states at the Fermi level = 12.08 states/eV/f.u.; calculated total energy = -190.7 eV for the cell shown
1.0
4.864 0.000 0.000
0.000 5.763 0.000
-0.346 0.000 10.260
V Sb P O
3 1 4 16
direct
0.000 0.000 0.000
0.096 0.500 0.563
0.506 0.500 0.039
0.578 0.000 0.497
0.125 0.000 0.698
0.448 0.000 0.162
0.668 0.500 0.371
0.939 0.500 0.868
0.203 0.000 0.842
0.249 0.500 0.891
0.260 0.213 0.628
0.260 0.787 0.628
0.301 0.208 0.087
0.301 0.792 0.087
0.370 0.000 0.302
0.379 0.500 0.422
0.677 0.500 0.224
0.757 0.000 0.145
0.796 0.294 0.944
0.796 0.706 0.944
0.815 0.000 0.674
0.844 0.296 0.438
0.844 0.704 0.438
0.864 0.500 0.722

2.
VSb3P6O24, optimized geometry, DFT GGA-PBEsol; density of states at the Fermi level = 9.98 states/eV/f.u.; calculated total energy = -250.5 eV for the cell shown
1.0
4.166 2.405 7.480
-4.166 2.405 7.480
0.000 -4.810 7.480
V Sb P O
1 3 6 24
direct
0.000 0.000 0.000
0.209 0.209 0.209
0.506 0.506 0.506
0.715 0.715 0.715
0.102 0.394 0.825
0.315 0.898 0.610
0.394 0.825 0.102
0.610 0.315 0.898
0.825 0.102 0.394
0.898 0.610 0.315
0.018 0.075 0.387
0.037 0.394 0.346
0.046 0.244 0.859
0.075 0.387 0.018
0.119 0.982 0.748
0.244 0.859 0.046
0.316 0.368 0.680
0.333 0.699 0.642
0.346 0.037 0.394
0.368 0.680 0.316
0.387 0.018 0.075
0.394 0.346 0.037
0.482 0.874 0.644
0.604 0.738 0.970
0.642 0.333 0.699
0.644 0.482 0.874
0.680 0.316 0.368
0.699 0.642 0.333
0.738 0.970 0.604
0.748 0.119 0.982
0.859 0.046 0.244
0.874 0.644 0.482
0.970 0.604 0.738
0.982 0.748 0.119

3.
Sb3P6WO24, optimized geometry, DFT GGA-PBEsol; density of states at the Fermi level = 3.81 states/eV/f.u.; calculated total energy = -253.8 eV for the cell shown
1.0
4.282 2.472 7.639
-4.282 2.472 7.639
0.000 -4.945 7.639
Sb P W O
3 6 1 24
direct
0.000 0.000 0.000
0.214 0.214 0.214
0.713 0.713 0.713
0.101 0.814 0.402
0.325 0.620 0.883
0.402 0.101 0.814
0.620 0.883 0.325
0.814 0.402 0.101
0.883 0.325 0.620
0.506 0.506 0.506
0.002 0.388 0.068
0.021 0.371 0.419
0.068 0.002 0.388
0.098 0.812 0.237
0.121 0.752 0.952
0.237 0.098 0.812
0.305 0.666 0.413
0.354 0.618 0.696
0.371 0.419 0.021
0.388 0.068 0.002
0.413 0.305 0.666
0.419 0.021 0.371
0.454 0.717 0.826
0.600 0.969 0.717
0.618 0.696 0.354
0.666 0.413 0.305
0.696 0.354 0.618
0.717 0.600 0.969
0.717 0.826 0.454
0.752 0.952 0.121
0.812 0.237 0.098
0.826 0.454 0.717
0.952 0.121 0.752
0.969 0.717 0.600

4.
SbP6W3O24, optimized geometry, DFT GGA-PBEsol; density of states at the Fermi level = 17.09 states/eV/f.u.; calculated total energy = -275.9 eV for the cell shown
1.0
4.345 2.508 7.457
-4.345 2.508 7.457
0.000 -5.017 7.457
Sb P W O
1 6 3 24
direct
0.000 0.000 0.000
0.112 0.399 0.822
0.345 0.894 0.592
0.399 0.822 0.112
0.592 0.345 0.894
0.822 0.112 0.399
0.894 0.592 0.345
0.218 0.218 0.218
0.503 0.503 0.503
0.717 0.717 0.717
0.084 0.439 0.288
0.129 0.221 0.825
0.148 0.364 0.991
0.189 0.869 0.778
0.221 0.825 0.129
0.259 0.477 0.635
0.288 0.084 0.439
0.364 0.991 0.148
0.398 0.747 0.515
0.439 0.288 0.084
0.477 0.635 0.259
0.515 0.398 0.747
0.522 0.874 0.601
0.557 0.824 0.919
0.601 0.522 0.874
0.635 0.259 0.477
0.747 0.515 0.398
0.778 0.189 0.869
0.824 0.919 0.557
0.825 0.129 0.221
0.869 0.778 0.189
0.874 0.601 0.522
0.919 0.557 0.824
0.991 0.148 0.364

5.
ScP3O9, optimized geometry, DFT GGA-PBEsol; density of states at the Fermi level = 0.00 states/eV/f.u.; calculated total energy = -622.3 eV for the cell shown; E above lowest polymorph = 0.7 kJ per mole of atoms
1.0
6.807 -9.819 0.000
6.807 9.819 0.000
-5.874 0.000 7.789
Sc P O
6 18 54
direct
0.078 0.922 0.500
0.227 0.739 0.964
0.412 0.591 0.500
0.591 0.412 0.000
0.739 0.227 0.464
0.922 0.078 0.000
0.000 0.273 0.819
0.150 0.549 0.149
0.206 0.480 0.651
0.239 0.287 0.774
0.273 0.000 0.319
0.287 0.239 0.274
0.332 0.941 0.808
0.480 0.206 0.151
0.549 0.150 0.649
0.565 0.944 0.757
0.584 0.868 0.205
0.619 0.676 0.334
0.676 0.619 0.834
0.824 0.887 0.167
0.868 0.584 0.705
0.887 0.824 0.667
0.941 0.332 0.308
0.944 0.565 0.257
0.015 0.674 0.856
0.018 0.902 0.671
0.026 0.406 0.971
0.058 0.600 0.205
0.070 0.361 0.466
0.137 0.153 0.132
0.149 0.939 0.336
0.153 0.137 0.632
0.159 0.322 0.868
0.167 0.544 0.773
0.231 0.523 0.276
0.231 0.654 0.117
0.250 0.811 0.804
0.259 0.385 0.696
0.260 0.920 0.153
0.267 0.946 0.650
0.313 0.579 0.636
0.322 0.159 0.368
0.341 0.382 0.415
0.361 0.070 0.966
0.382 0.341 0.915
0.385 0.259 0.196
0.406 0.026 0.471
0.441 0.820 0.071
0.468 0.800 0.598
0.488 0.976 0.859
0.516 0.594 0.369
0.523 0.231 0.776
0.544 0.167 0.273
0.563 0.762 0.271
0.579 0.313 0.136
0.594 0.516 0.869
0.596 0.650 0.713
0.600 0.058 0.705
0.650 0.596 0.213
0.654 0.231 0.617
0.664 0.840 0.107
0.674 0.015 0.356
0.705 0.979 0.884
0.759 0.803 0.513
0.762 0.563 0.771
0.800 0.468 0.098
0.803 0.759 0.013
0.811 0.250 0.304
0.820 0.441 0.571
0.840 0.664 0.607
0.888 0.889 0.829
0.889 0.888 0.329
0.902 0.018 0.171
0.920 0.260 0.653
0.939 0.149 0.836
0.946 0.267 0.150
0.976 0.488 0.359
0.979 0.705 0.384

6.
ScP2O7, optimized geometry, DFT GGA-PBEsol; density of states at the Fermi level = 2.11 states/eV/f.u.; calculated total energy = -157.9 eV for the cell shown
1.0
5.145 0.000 0.000
0.000 8.465 0.000
-1.896 0.000 6.867
Sc P O
2 4 14
direct
0.204 0.000 0.229
0.796 0.500 0.771
0.262 0.262 0.614
0.384 0.682 0.009
0.616 0.182 0.991
0.738 0.762 0.386
0.029 0.330 0.684
0.153 0.564 0.970
0.164 0.163 0.433
0.281 0.850 0.015
0.427 0.141 0.778
0.448 0.161 0.136
0.452 0.395 0.593
0.548 0.895 0.407
0.552 0.661 0.864
0.573 0.641 0.222
0.719 0.350 0.985
0.836 0.663 0.567
0.847 0.064 0.030
0.971 0.830 0.316

7.
ScP3O9, optimized geometry, DFT GGA-PBEsol; density of states at the Fermi level = 0.00 states/eV/f.u.; calculated total energy = -830.5 eV for the cell shown; E above lowest polymorph = 0.0 kJ per mole of atoms
1.0
-7.217 7.217 7.217
7.217 -7.217 7.217
7.217 7.217 -7.217
Sc P O
8 24 72
direct
0.000 0.208 0.500
0.000 0.708 0.500
0.208 0.500 0.000
0.292 0.292 0.292
0.500 0.000 0.208
0.500 0.000 0.708
0.708 0.500 0.000
0.792 0.792 0.792
0.043 0.332 0.124
0.081 0.957 0.789
0.124 0.043 0.332
0.168 0.211 0.792
0.208 0.876 0.419
0.211 0.792 0.168
0.289 0.457 0.581
0.292 0.711 0.668
0.332 0.124 0.043
0.376 0.708 0.919
0.419 0.208 0.876
0.457 0.581 0.289
0.543 0.624 0.832
0.581 0.289 0.457
0.624 0.832 0.543
0.668 0.292 0.711
0.708 0.919 0.376
0.711 0.668 0.292
0.789 0.081 0.957
0.792 0.168 0.211
0.832 0.543 0.624
0.876 0.419 0.208
0.919 0.376 0.708
0.957 0.789 0.081
0.003 0.409 0.221
0.028 0.417 0.836
0.078 0.887 0.664
0.080 0.191 0.664
0.083 0.111 0.420
0.086 0.808 0.422
0.091 0.094 0.812
0.094 0.812 0.091
0.111 0.420 0.083
0.113 0.278 0.192
0.164 0.387 0.578
0.164 0.691 0.580
0.188 0.779 0.283
0.191 0.664 0.080
0.192 0.113 0.278
0.217 0.997 0.906
0.221 0.003 0.409
0.222 0.336 0.914
0.278 0.192 0.113
0.279 0.688 0.783
0.283 0.188 0.779
0.308 0.586 0.922
0.309 0.389 0.472
0.312 0.594 0.591
0.336 0.914 0.222
0.336 0.917 0.528
0.387 0.578 0.164
0.389 0.472 0.309
0.406 0.497 0.717
0.409 0.221 0.003
0.414 0.836 0.722
0.417 0.836 0.028
0.420 0.083 0.111
0.422 0.086 0.808
0.472 0.309 0.389
0.497 0.717 0.406
0.503 0.721 0.909
0.528 0.336 0.917
0.578 0.164 0.387
0.580 0.164 0.691
0.583 0.920 0.611
0.586 0.922 0.308
0.591 0.312 0.594
0.594 0.591 0.312
0.611 0.583 0.920
0.613 0.692 0.778
0.664 0.078 0.887
0.664 0.080 0.191
0.688 0.783 0.279
0.691 0.580 0.164
0.692 0.778 0.613
0.717 0.406 0.497
0.721 0.909 0.503
0.722 0.414 0.836
0.778 0.613 0.692
0.779 0.283 0.188
0.783 0.279 0.688
0.808 0.422 0.086
0.809 0.972 0.889
0.812 0.091 0.094
0.836 0.028 0.417
0.836 0.722 0.414
0.887 0.664 0.078
0.889 0.809 0.972
0.906 0.217 0.997
0.909 0.503 0.721
0.914 0.222 0.336
0.917 0.528 0.336
0.920 0.611 0.583
0.922 0.308 0.586
0.972 0.889 0.809
0.997 0.906 0.217

8.
Sc2P3O12, optimized geometry, DFT GGA-PBEsol; density of states at the Fermi level = 9.45 states/eV/f.u.; calculated total energy = -532.9 eV for the cell shown
1.0
12.665 0.000 0.000
0.000 9.033 0.000
0.000 0.000 9.044
Sc P O
8 12 48
direct
0.118 0.250 0.029
0.118 0.750 0.529
0.382 0.250 0.529
0.382 0.750 0.029
0.618 0.250 0.971
0.618 0.750 0.471
0.882 0.250 0.471
0.882 0.750 0.971
0.000 0.028 0.750
0.000 0.972 0.250
0.142 0.387 0.392
0.142 0.613 0.892
0.358 0.113 0.892
0.358 0.887 0.392
0.500 0.472 0.250
0.500 0.528 0.750
0.642 0.113 0.608
0.642 0.887 0.108
0.858 0.387 0.108
0.858 0.613 0.608
0.037 0.322 0.446
0.037 0.678 0.946
0.066 0.126 0.853
0.066 0.874 0.353
0.074 0.069 0.158
0.074 0.931 0.658
0.139 0.445 0.915
0.139 0.555 0.415
0.154 0.352 0.227
0.154 0.648 0.727
0.232 0.319 0.481
0.232 0.681 0.981
0.268 0.181 0.981
0.268 0.819 0.481
0.346 0.148 0.727
0.346 0.852 0.227
0.361 0.055 0.415
0.361 0.945 0.915
0.426 0.431 0.658
0.426 0.569 0.158
0.434 0.374 0.353
0.434 0.626 0.853
0.463 0.178 0.946
0.463 0.822 0.446
0.537 0.178 0.554
0.537 0.822 0.054
0.566 0.374 0.147
0.566 0.626 0.647
0.574 0.431 0.842
0.574 0.569 0.342
0.639 0.055 0.085
0.639 0.945 0.585
0.654 0.148 0.773
0.654 0.852 0.273
0.732 0.181 0.519
0.732 0.819 0.019
0.768 0.319 0.019
0.768 0.681 0.519
0.846 0.352 0.273
0.846 0.648 0.773
0.861 0.445 0.585
0.861 0.555 0.085
0.926 0.069 0.342
0.926 0.931 0.842
0.934 0.126 0.647
0.934 0.874 0.147
0.963 0.322 0.054
0.963 0.678 0.554